Tm2Mg3Sc3 after structural relaxation, computed with PBE.

abc: 5.206 5.206 9.078
angles: 73.34 73.34 60.00
Element x y z (fractional)
Tm 0.500 0.500 0.501
Tm 0.001 0.001 0.997
Sc 0.752 0.752 0.745
Sc 0.247 0.247 0.258
Sc 0.625 0.625 0.124
Mg 0.125 0.125 0.625
Mg 0.877 0.877 0.368
Mg 0.373 0.373 0.882

Space group   R3m

SmYEr2Tm5 after structural relaxation, computed with PBE.

abc: 8.817 8.817 9.587
angles: 117.38 117.38 90.00
Element x y z (fractional)
Y 0.250 0.250 0.500
Y 0.750 0.750 0.500
Tm 0.665 0.165 0.737
Tm 0.500 0.500 0.000
Tm 0.571 0.665 0.737
Tm 0.335 0.835 0.263
Tm 0.835 0.929 0.263
Tm 0.929 0.429 0.263
Tm 0.000 0.000 0.000
Tm 0.165 0.071 0.737
Tm 0.071 0.571 0.737
Tm 0.429 0.335 0.263
Er 0.386 0.886 0.000
Er 0.114 0.386 0.000
Er 0.614 0.114 0.000
Er 0.886 0.614 0.000
Sm 0.750 0.250 0.500
Sm 0.250 0.750 0.500

Space group   I4/mcm

Mg2BiAu after structural relaxation, computed with PBE.

abc: 3.468 3.468 9.322
angles: 79.28 79.28 60.00
Element x y z (fractional)
Au 0.000 0.000 0.000
Mg 0.736 0.736 0.791
Mg 0.264 0.264 0.209
Bi 0.500 0.500 0.500

Space group   R-3m

Pa2Al3Ga2 after structural relaxation, computed with PBE.

abc: 3.005 4.242 11.159
angles: 100.96 90.00 90.00
Element x y z (fractional)
Al 0.500 0.563 0.126
Al 0.500 0.437 0.874
Al 0.000 0.000 0.000
Pa 0.000 0.145 0.291
Pa 0.000 0.855 0.709
Ga 0.500 0.718 0.435
Ga 0.500 0.282 0.565

Space group   Cmmm

In eV per atom, the E_tot values for the records above are, in order, -4.08 -4.44 -2.82 -5.35.
In states/eV/atom, the Fermi-level density of states values for the records above are, in order, 1.336 1.203 0.485 1.271.